No. 1
VASP calculation (PBE) on a geometry-optimized LaAl2Bi2 structure.

Values from the calculation:
Relative energy among the computed polymorphs   138 meV per atom
Total magnetic moment   0.0000 μB per atom

Cell: 8.422 8.422 3.939 Å, 90.00 90.00 90.00°
Space group P4/mbm (No. 127)
Symmetry-distinct sites (fractional):
La 0.000 0.000 0.000 (multiplicity 2)
Al 0.152 0.348 0.500 (multiplicity 4)
Bi 0.140 0.640 0.000 (multiplicity 4)

---

No. 2
VASP calculation (PBE) on a geometry-optimized LaAlBi structure.

Values from the calculation:
Total magnetic moment   0.0000 μB per atom

Cell: 4.390 4.557 9.198 Å, 89.88 76.24 89.96°
Space group P-1 (No. 2)
Symmetry-distinct sites (fractional):
La 0.112 0.251 0.274 (multiplicity 2)
Al 0.467 0.250 0.567 (multiplicity 2)
Bi 0.315 0.248 0.872 (multiplicity 2)

---

Number 1: energy of formation from the pure elements -0.06 eV/atom, E -0.15039 Ha/atom. Number 2: energy of formation from the pure elements -0.57 eV/atom, E -0.17466 Ha/atom.